SrMg2Ni: relaxed, GGA-PBE.

Cell and atoms, written as extended XYZ:
```
8
Lattice="4.881 0.000 0.000 0.000 5.572 0.000 0.000 0.000 7.383" Properties=species:S:1:pos:R:3 pbc="T T T"
Sr 0.000 0.000 0.000
Sr 2.441 2.786 3.691
Mg 0.000 0.000 3.947
Mg 0.000 2.786 5.894
Mg 2.441 0.000 2.203
Mg 2.441 2.786 0.256
Ni 0.000 2.786 1.250
Ni 2.441 0.000 4.941
```

**Energy relative to the elements**: 124 meV per atom
**Electronic total energy**: -20.312 eV/cell
**Spin magnetization**: 0.00 μB per cell